Record 1
DFT (PBE) results for a geometry-optimized Tb2CdBi structure.

Cell and atoms, written as extended XYZ:
```
4
Lattice="0.000 3.823 3.823 3.823 0.000 3.823 3.823 3.823 0.000" Properties=species:S:1:pos:R:3 pbc="T T T"
Tb 1.912 1.912 1.912
Tb 5.735 5.735 5.735
Cd 0.000 0.000 0.000
Bi 3.823 3.823 3.823
```

Summary:
Calculated volume, Å³ per atom: 27.9
Calculated density, g/cm3: 9.5
Magnetic moment, μB/cell: 0.00
Formation energy, eV per atom: -0.43
Symmetry: Fm-3m (225)

---

Record 2
DFT (PBE) results for a geometry-optimized TbCdBi structure.

Cell and atoms, written as extended XYZ:
```
3
Lattice="4.797 0.000 0.000 -2.398 4.154 0.000 0.000 0.000 4.327" Properties=species:S:1:pos:R:3 pbc="T T T"
Tb 0.000 0.000 0.000
Cd 2.398 1.385 1.343
Bi 0.000 2.769 2.568
```

Summary:
Calculated volume, Å³ per atom: 28.7
Calculated density, g/cm3: 9.2
Magnetic moment, μB/cell: 0.00
Formation energy, eV per atom: -0.34
Symmetry: P3m1 (156)

---

Record 3
DFT (PBE) results for a geometry-optimized TbCd4Bi structure.

Cell and atoms, written as extended XYZ:
```
6
Lattice="0.000 4.232 4.232 4.232 0.000 4.232 4.232 4.232 0.000" Properties=species:S:1:pos:R:3 pbc="T T T"
Tb 0.000 0.000 0.000
Cd 5.293 3.172 3.172
Cd 3.172 5.293 3.172
Cd 3.172 3.172 5.293
Cd 5.293 5.293 5.293
Bi 2.116 2.116 2.116
```

Summary:
Calculated volume, Å³ per atom: 25.3
Calculated density, g/cm3: 9.0
Magnetic moment, μB/cell: 0.00
Formation energy, eV per atom: -0.10
Symmetry: F-43m (216)

---

Record 4
DFT (PBE) results for a geometry-optimized TbCd2Bi structure.

Cell and atoms, written as extended XYZ:
```
4
Lattice="1.697 0.980 11.818 -1.697 0.980 11.818 0.000 -1.960 11.818" Properties=species:S:1:pos:R:3 pbc="T T T"
Tb 0.000 0.000 0.000
Cd 0.000 0.000 3.119
Cd 0.000 0.000 32.335
Bi 0.000 0.000 17.727
```

Summary:
Calculated volume, Å³ per atom: 29.5
Calculated density, g/cm3: 8.3
Magnetic moment, μB/cell: 0.00
Formation energy, eV per atom: 0.19
Symmetry: R-3m (166)

---

Record 5
DFT (PBE) results for a geometry-optimized Tb2CdBi structure.

Cell and atoms, written as extended XYZ:
```
4
Lattice="4.012 0.000 0.000 0.000 4.012 0.000 0.000 0.000 6.920" Properties=species:S:1:pos:R:3 pbc="T T T"
Tb 0.000 0.000 1.732
Tb 0.000 0.000 5.188
Cd 2.006 2.006 0.000
Bi 2.006 2.006 3.460
```

Summary:
Calculated volume, Å³ per atom: 27.8
Calculated density, g/cm3: 9.5
Magnetic moment, μB/cell: 0.64
Formation energy, eV per atom: -0.50
Symmetry: P4/mmm (123)

---

Record 6
DFT (PBE) results for a geometry-optimized Tb6CdBi3 structure.

Cell and atoms, written as extended XYZ:
```
20
Lattice="6.036 -5.830 0.000 6.036 5.830 0.000 0.000 0.000 8.491" Properties=species:S:1:pos:R:3 pbc="T T T"
Tb 3.054 2.884 6.368
Tb 6.036 3.927 4.264
Tb 6.036 3.927 8.473
Tb 4.086 0.000 0.000
Tb 4.086 0.000 4.246
Tb 3.054 -2.884 2.123
Tb 9.019 2.884 6.368
Tb 7.986 0.000 0.000
Tb 7.986 0.000 4.246
Tb 6.036 -3.927 0.018
Tb 6.036 -3.927 4.227
Tb 9.019 -2.884 2.123
Cd 6.036 1.662 6.368
Cd 6.036 -1.662 2.123
Bi 1.726 0.011 2.123
Bi 1.726 -0.011 6.368
Bi 6.036 1.574 2.123
Bi 6.036 -1.574 6.368
Bi 10.346 0.011 2.123
Bi 10.346 -0.011 6.368
```

Summary:
Calculated volume, Å³ per atom: 29.9
Calculated density, g/cm3: 9.4
Magnetic moment, μB/cell: 0.01
Formation energy, eV per atom: -0.57
Symmetry: Cmcm (63)

---

Record 7
DFT (PBE) results for a geometry-optimized TbCdBi2 structure.

Cell and atoms, written as extended XYZ:
```
4
Lattice="2.248 1.298 9.217 -2.248 1.298 9.217 0.000 -2.596 9.217" Properties=species:S:1:pos:R:3 pbc="T T T"
Tb 0.000 0.000 0.000
Cd 0.000 0.000 13.826
Bi 0.000 0.000 11.025
Bi 0.000 0.000 16.627
```

Summary:
Calculated volume, Å³ per atom: 40.3
Calculated density, g/cm3: 7.1
Magnetic moment, μB/cell: 0.00
Formation energy, eV per atom: -0.07
Symmetry: R-3m (166)

---

Record 8
DFT (PBE) results for a geometry-optimized TbCdBi2 structure.

Cell and atoms, written as extended XYZ:
```
4
Lattice="2.329 1.345 6.845 -2.329 1.345 6.845 0.000 -2.689 6.845" Properties=species:S:1:pos:R:3 pbc="T T T"
Tb 0.000 0.000 0.000
Cd 0.000 0.000 17.070
Bi 0.000 0.000 8.533
Bi 0.000 0.000 12.000
```

Summary:
Calculated volume, Å³ per atom: 32.2
Calculated density, g/cm3: 8.9
Magnetic moment, μB/cell: 0.00
Formation energy, eV per atom: -0.25
Symmetry: R3m (160)

---

Record 9
DFT (PBE) results for a geometry-optimized Tb6Cd5Bi structure.

Cell and atoms, written as extended XYZ:
```
12
Lattice="-2.686 3.721 8.067 2.686 -3.721 8.067 2.686 3.721 -8.067" Properties=species:S:1:pos:R:3 pbc="T T T"
Tb 2.686 1.852 -2.710
Tb 0.000 1.835 0.000
Tb 2.686 1.852 2.710
Tb 0.000 1.869 5.357
Tb 0.000 5.607 0.000
Tb 0.000 1.869 10.777
Cd 2.686 0.000 0.000
Cd 0.000 0.000 2.692
Cd 2.686 0.000 5.253
Cd 0.000 3.721 2.814
Cd 0.000 0.000 13.443
Bi 0.000 0.000 8.067
```

Summary:
Calculated volume, Å³ per atom: 26.9
Calculated density, g/cm3: 8.9
Magnetic moment, μB/cell: 0.00
Formation energy, eV per atom: -0.38
Symmetry: Immm (71)

---

Record 10
DFT (PBE) results for a geometry-optimized Tb7Cd2Bi2 structure.

Cell and atoms, written as extended XYZ:
```
11
Lattice="4.086 -5.522 0.000 4.086 5.522 0.000 0.000 0.000 7.858" Properties=species:S:1:pos:R:3 pbc="T T T"
Tb 0.000 0.000 0.000
Tb 2.043 2.761 2.271
Tb 2.043 2.761 5.586
Tb 2.043 -2.761 2.271
Tb 2.043 -2.761 5.586
Tb 4.086 0.000 2.211
Tb 4.086 0.000 5.646
Cd 1.403 0.000 3.929
Cd 6.770 0.000 3.929
Bi 4.086 2.276 0.000
Bi 4.086 -2.276 0.000
```

Summary:
Calculated volume, Å³ per atom: 32.2
Calculated density, g/cm3: 8.2
Magnetic moment, μB/cell: 0.00
Formation energy, eV per atom: -0.14
Symmetry: Cmmm (65)

---

Record 11
DFT (PBE) results for a geometry-optimized TbCdBi2 structure.

Cell and atoms, written as extended XYZ:
```
4
Lattice="4.131 0.000 0.000 0.000 4.131 0.000 0.000 0.000 6.776" Properties=species:S:1:pos:R:3 pbc="T T T"
Tb 0.000 0.000 0.000
Cd 0.000 0.000 3.388
Bi 2.065 2.065 1.647
Bi 2.065 2.065 5.129
```

Summary:
Calculated volume, Å³ per atom: 28.9
Calculated density, g/cm3: 9.9
Magnetic moment, μB/cell: 0.00
Formation energy, eV per atom: -0.36
Symmetry: P4/mmm (123)

---

Record 12
DFT (PBE) results for a geometry-optimized TbYCdBi structure.

Cell and atoms, written as extended XYZ:
```
4
Lattice="0.000 3.822 3.822 3.822 0.000 3.822 3.822 3.822 0.000" Properties=species:S:1:pos:R:3 pbc="T T T"
Tb 0.000 0.000 0.000
Y 3.822 3.822 3.822
Cd 5.733 5.733 5.733
Bi 1.911 1.911 1.911
```

Summary:
Calculated volume, Å³ per atom: 27.9
Calculated density, g/cm3: 8.5
Magnetic moment, μB/cell: 0.00
Formation energy, eV per atom: -0.43
Symmetry: F-43m (216)

---

Record 13
DFT (PBE) results for a geometry-optimized Cd2TcBi structure.

Cell and atoms, written as extended XYZ:
```
4
Lattice="1.521 0.878 11.646 -1.521 0.878 11.646 0.000 -1.756 11.646" Properties=species:S:1:pos:R:3 pbc="T T T"
Cd 0.000 0.000 2.781
Cd 0.000 0.000 32.156
Tc 0.000 0.000 0.000
Bi 0.000 0.000 17.469
```

Summary:
Calculated volume, Å³ per atom: 23.3
Calculated density, g/cm3: 9.5
Magnetic moment, μB/cell: 0.40
Formation energy, eV per atom: 0.81
Symmetry: R-3m (166)

---

Record 14
DFT (PBE) results for a geometry-optimized Cd2TcBi structure.

Cell and atoms, written as extended XYZ:
```
8
Lattice="-4.203 4.203 2.744 4.203 -4.203 2.744 4.203 4.203 -2.744" Properties=species:S:1:pos:R:3 pbc="T T T"
Cd 2.102 1.742 -0.686
Cd 2.461 -2.102 3.430
Cd 2.102 2.461 2.058
Cd 1.742 6.305 0.686
Tc 0.000 0.000 0.000
Tc 0.000 4.203 1.372
Bi 4.203 0.000 1.372
Bi 0.000 0.000 2.744
```

Summary:
Calculated volume, Å³ per atom: 24.2
Calculated density, g/cm3: 9.1
Magnetic moment, μB/cell: 3.94
Formation energy, eV per atom: 0.66
Symmetry: I-42d (122)

---

Record 15
DFT (PBE) results for a geometry-optimized CdTcBi3 structure.

Cell and atoms, written as extended XYZ:
```
5
Lattice="5.351 0.000 0.000 0.000 5.351 0.000 0.000 0.000 5.351" Properties=species:S:1:pos:R:3 pbc="T T T"
Cd 0.000 0.000 0.000
Tc 2.675 2.675 2.675
Bi 0.000 2.675 2.675
Bi 2.675 0.000 2.675
Bi 2.675 2.675 0.000
```

Summary:
Calculated volume, Å³ per atom: 30.6
Calculated density, g/cm3: 9.1
Magnetic moment, μB/cell: 0.00
Formation energy, eV per atom: 0.51
Symmetry: Pm-3m (221)

---

Record 16
DFT (PBE) results for a geometry-optimized TlCdTc2Bi structure.

Cell and atoms, written as extended XYZ:
```
5
Lattice="5.204 0.000 0.000 0.000 5.204 0.000 0.000 0.000 5.256" Properties=species:S:1:pos:R:3 pbc="T T T"
Tl 0.000 0.000 0.000
Cd 0.000 0.000 2.628
Tc 0.000 2.602 2.628
Tc 2.602 0.000 2.628
Bi 2.602 2.602 0.000
```

Summary:
Calculated volume, Å³ per atom: 28.5
Calculated density, g/cm3: 8.4
Magnetic moment, μB/cell: 6.60
Formation energy, eV per atom: 1.68
Symmetry: P4/mmm (123)

---

Record 17
DFT (PBE) results for a geometry-optimized ZnCd2TcBi structure.

Cell and atoms, written as extended XYZ:
```
5
Lattice="4.903 0.000 0.000 0.000 4.903 0.000 0.000 0.000 5.557" Properties=species:S:1:pos:R:3 pbc="T T T"
Zn 0.000 0.000 0.000
Cd 0.000 2.451 0.000
Cd 2.451 0.000 0.000
Tc 2.451 2.451 2.778
Bi 0.000 0.000 2.778
```

Summary:
Calculated volume, Å³ per atom: 26.7
Calculated density, g/cm3: 7.4
Magnetic moment, μB/cell: 3.83
Formation energy, eV per atom: 1.04
Symmetry: P4/mmm (123)

---

Record 18
DFT (PBE) results for a geometry-optimized Cd12Bi3Te5 structure.

Cell and atoms, written as extended XYZ:
```
80
Lattice="-8.772 8.772 8.772 8.772 -8.772 8.772 8.772 8.772 -8.772" Properties=species:S:1:pos:R:3 pbc="T T T"
Cd 2.759 -0.153 1.292
Cd 10.399 5.678 -4.539
Cd 11.530 0.153 1.292
Cd 10.399 -3.094 4.539
Cd 8.619 -1.292 2.759
Cd 13.311 -1.627 3.094
Cd 1.292 2.759 -0.153
Cd 11.866 4.233 -1.627
Cd 5.678 4.539 -1.627
Cd 7.480 2.759 0.153
Cd -0.153 1.292 2.759
Cd 4.539 -1.627 5.678
Cd 8.619 7.480 -2.759
Cd 4.539 1.627 3.094
Cd 5.678 -4.539 10.399
Cd 7.480 -2.759 8.619
Cd 3.094 4.539 1.627
Cd 10.064 6.013 0.153
Cd 4.539 10.399 -3.094
Cd 8.619 1.292 6.013
Cd 2.759 8.619 -1.292
Cd 10.399 3.094 4.233
Cd 1.627 3.094 4.539
Cd 2.759 0.153 7.480
Cd 6.013 8.619 1.292
Cd 7.144 5.678 4.233
Cd -1.627 5.678 4.539
Cd 6.013 0.153 10.064
Cd 0.153 7.480 2.759
Cd 4.233 -1.627 11.866
Cd -1.292 2.759 8.619
Cd 5.678 4.233 7.144
Cd 1.292 11.530 0.153
Cd 3.094 13.311 -1.627
Cd 4.233 7.144 5.678
Cd 0.153 1.292 11.530
Cd 4.233 10.399 3.094
Cd 8.925 7.480 6.013
Cd 1.292 6.013 8.619
Cd 3.094 4.233 10.399
Cd -3.094 4.539 10.399
Cd 7.480 6.013 8.925
Cd -4.539 10.399 5.678
Cd 0.153 10.064 6.013
Cd -1.627 11.866 4.233
Cd -2.759 8.619 7.480
Cd -1.627 3.094 13.311
Cd 6.013 8.925 7.480
Bi 4.386 2.193 0.000
Bi 8.772 4.386 -2.193
Bi 2.193 0.000 4.386
Bi 10.965 0.000 4.386
Bi 0.000 4.386 2.193
Bi 4.386 -2.193 8.772
Bi 4.386 10.965 0.000
Bi 8.772 4.386 6.579
Bi -2.193 8.772 4.386
Bi 6.579 8.772 4.386
Bi 0.000 4.386 10.965
Bi 4.386 6.579 8.772
Te 0.000 0.000 0.000
Te 4.386 4.386 -4.386
Te 4.386 -4.386 4.386
Te 8.772 0.000 0.000
Te 13.158 2.193 0.000
Te 8.772 -4.386 6.579
Te 6.579 8.772 -4.386
Te 6.579 0.000 4.386
Te 4.386 6.579 0.000
Te 8.772 4.386 2.193
Te -4.386 4.386 4.386
Te 0.000 8.772 0.000
Te 0.000 0.000 8.772
Te 4.386 4.386 4.386
Te 0.000 4.386 6.579
Te 4.386 2.193 8.772
Te 2.193 8.772 4.386
Te 2.193 0.000 13.158
Te 0.000 13.158 2.193
Te -4.386 6.579 8.772
```

Summary:
Calculated volume, Å³ per atom: 33.7
Calculated density, g/cm3: 6.4
Magnetic moment, μB/cell: 0.00
Formation energy (no corrections), meV/atom: -80
Symmetry: Ia-3d (230)

---

Record 19
DFT (PBE) results for a geometry-optimized CdBiTe structure.

Cell and atoms, written as extended XYZ:
```
6
Lattice="4.255 0.000 0.000 0.209 5.485 0.000 0.228 0.677 8.497" Properties=species:S:1:pos:R:3 pbc="T T T"
Cd 0.888 2.074 3.113
Cd 3.804 4.088 5.384
Bi 1.343 0.995 5.841
Bi 3.349 5.167 2.656
Te 1.198 3.736 0.845
Te 3.495 2.426 7.652
```

Summary:
Calculated volume, Å³ per atom: 33.1
Calculated density, g/cm3: 7.5
Magnetic moment, μB/cell: 0.00
Formation energy (no corrections), meV/atom: -13
Symmetry: P-1 (2)

---

Record 20
DFT (PBE) results for a geometry-optimized Cd2BiTe2 structure.

Cell and atoms, written as extended XYZ:
```
5
Lattice="-2.150 2.150 8.286 2.150 -2.150 8.286 2.150 2.150 -8.286" Properties=species:S:1:pos:R:3 pbc="T T T"
Cd 0.000 0.000 1.465
Cd 0.000 0.000 15.106
Bi 0.000 0.000 8.286
Te 2.150 0.000 4.143
Te 0.000 2.150 4.143
```

Summary:
Calculated volume, Å³ per atom: 30.6
Calculated density, g/cm3: 7.5
Magnetic moment, μB/cell: 0.00
Formation energy (no corrections), meV/atom: 177
Symmetry: I4/mmm (139)

---

Record 21
DFT (PBE) results for a geometry-optimized CdBiTe3 structure.

Cell and atoms, written as extended XYZ:
```
5
Lattice="5.550 0.000 0.000 0.000 5.550 0.000 0.000 0.000 5.550" Properties=species:S:1:pos:R:3 pbc="T T T"
Cd 0.000 0.000 0.000
Bi 2.775 2.775 2.775
Te 0.000 0.000 2.775
Te 0.000 2.775 0.000
Te 2.775 0.000 0.000
```

Summary:
Calculated volume, Å³ per atom: 34.2
Calculated density, g/cm3: 6.8
Magnetic moment, μB/cell: 0.00
Formation energy (no corrections), meV/atom: 448
Symmetry: Pm-3m (221)

---

Record 22
DFT (PBE) results for a geometry-optimized Cd2BiTe2 structure.

Cell and atoms, written as extended XYZ:
```
10
Lattice="8.904 0.000 0.000 0.000 8.904 0.000 0.000 0.000 4.187" Properties=species:S:1:pos:R:3 pbc="T T T"
Cd 0.964 3.488 0.000
Cd 3.488 7.940 0.000
Cd 5.415 0.964 0.000
Cd 7.940 5.415 0.000
Bi 0.000 0.000 2.093
Bi 4.452 4.452 2.093
Te 2.068 6.520 2.093
Te 2.384 2.068 2.093
Te 6.520 6.835 2.093
Te 6.835 2.384 2.093
```

Summary:
Calculated volume, Å³ per atom: 33.2
Calculated density, g/cm3: 6.9
Magnetic moment, μB/cell: 0.00
Formation energy (no corrections), meV/atom: -61
Symmetry: P4/mbm (127)